{"formula": "AuO2F2", "functional": "PBE", "state": "relaxed", "lattice": [[4.0274, 0.0000, 0.0000], [0.0000, 4.0274, 0.0000], [0.0000, 0.0000, 4.2083]], "species": ["Au", "O", "F", "O", "F"], "fractional_positions": [[0.0000, 0.0000, 0.0000], [0.0000, 0.5000, 0.0000], [0.5000, 0.5000, 0.5000], [0.5000, 0.0000, 0.0000], [0.0000, 0.0000, 0.5000]], "space_group": "P4/mmm", "relative_energy_ev_per_fu": 3.73}

{"formula": "Dy2ErRh3", "functional": "PBE", "state": "relaxed", "lattice": [[3.4160, 0.0000, 0.0000], [0.0000, 3.4160, 0.0000], [0.0000, 0.0000, 10.2404]], "species": ["Rh", "Er", "Dy", "Dy", "Rh", "Rh"], "fractional_positions": [[0.0000, 0.0000, 0.6644], [0.5000, 0.5000, 0.5000], [0.5000, 0.5000, 0.1674], [0.5000, 0.5000, 0.8326], [0.0000, 0.0000, 0.0000], [0.0000, 0.0000, 0.3356]], "space_group": "P4/mmm", "relative_energy_ev_per_fu": 0.02}

{"formula": "Co5Ni3", "functional": "PBE", "state": "relaxed", "lattice": [[3.5406, 0.0000, 0.0000], [0.0000, 3.5406, 0.0000], [-1.7703, -1.7703, 6.9586]], "species": ["Co", "Ni", "Co", "Co", "Ni", "Ni", "Co", "Co"], "fractional_positions": [[0.4989, 0.9989, 0.9979], [0.8750, 0.8750, 0.7501], [0.7500, 0.2500, 0.5000], [0.3743, 0.3743, 0.7487], [0.2500, 0.7500, 0.5000], [0.1250, 0.1250, 0.2499], [0.0011, 0.5011, 0.0021], [0.6257, 0.6257, 0.2513]], "space_group": "I-4m2", "relative_energy_ev_per_fu": 0.02}

{"formula": "Cs2TbMg2Se4", "functional": "PBE", "state": "relaxed", "lattice": [[4.3034, 0.0000, 0.0000], [0.0000, 8.5437, 0.5391], [-2.1517, -2.8723, 7.5933]], "species": ["Cs", "Se", "Mg", "Mg", "Cs", "Se", "Tb", "Se", "Se"], "fractional_positions": [[0.1270, 0.5398, 0.2540], [0.8018, 0.8409, 0.6035], [0.6714, 0.9764, 0.3429], [0.3286, 0.0236, 0.6571], [0.8730, 0.4602, 0.7460], [0.5204, 0.7765, 0.0408], [0.0000, 0.0000, 0.0000], [0.1982, 0.1591, 0.3965], [0.4796, 0.2235, 0.9592]], "space_group": "C2/m", "energy_ev_per_atom": -3.916}

{"formula": "MgTaIn", "functional": "PBE", "state": "relaxed", "lattice": [[-3.1618, -1.6055, 6.3698], [-5.7371, -2.9730, 3.3758], [5.4171, 0.4372, -4.8593]], "species": ["Mg", "In", "Ta"], "fractional_positions": [[0.3269, 0.3269, 0.0000], [0.0049, 0.0049, 0.0000], [0.6681, 0.6681, 0.0000]], "space_group": "I4mm", "energy_ev_per_atom": -5.212}

{"formula": "B5C7", "functional": "PBE", "state": "relaxed", "lattice": [[3.8740, -0.0373, -2.1007], [3.0768, 2.3542, -2.1007], [-0.0391, -0.0130, 8.3482]], "species": ["B", "B", "C", "B", "B", "B", "C", "C", "C", "C", "C", "C"], "fractional_positions": [[0.1238, 0.1238, 0.2006], [0.0117, 0.0117, 0.9694], [0.9897, 0.9897, 0.5077], [0.3353, 0.3353, 0.1650], [0.6908, 0.6908, 0.8387], [0.6460, 0.6460, 0.3613], [0.1761, 0.1761, 0.6904], [0.8678, 0.8678, 0.0567], [0.4762, 0.4762, 0.3948], [0.5112, 0.5112, 0.8528], [0.3387, 0.3387, 0.6613], [0.8327, 0.8327, 0.5514]], "space_group": "Cm", "relative_energy_ev_per_fu": 1.20}

{"formula": "K4PdI5", "functional": "PBE", "state": "relaxed", "lattice": [[-0.2181, -1.7110, 6.9277], [-0.8973, -8.2089, 1.6229], [7.4678, -1.6766, 3.4995]], "species": ["K", "K", "K", "Pd", "I", "I", "I", "K", "I", "I"], "fractional_positions": [[0.5934, 0.6119, 0.2065], [0.7998, 0.7935, 0.6119], [0.4118, 0.3881, 0.7935], [0.0382, 0.0000, 0.0000], [0.9166, 0.3427, 0.8241], [0.0833, 0.6573, 0.1759], [0.2593, 0.8241, 0.6573], [0.2053, 0.2065, 0.3881], [0.4620, 0.0000, 0.0000], [0.7407, 0.1759, 0.3427]], "space_group": "I4", "energy_ev_per_atom": -2.815}

{"formula": "SrAlOs", "functional": "PBE", "state": "relaxed", "lattice": [[-5.8735, -0.5581, 1.5695], [-5.3867, -2.6799, -1.0363], [-0.1628, -2.6448, 2.1231]], "species": ["Os", "Sr", "Al"], "fractional_positions": [[0.3777, 0.3777, 0.6223], [0.6738, 0.6738, 0.3262], [0.9485, 0.9485, 0.0515]], "space_group": "I4mm", "energy_ev_per_atom": -5.457}

{"formula": "SbHPb", "functional": "PBE", "state": "relaxed", "lattice": [[-4.2928, 0.0866, 0.7154], [-0.3367, -4.0609, -1.5306], [2.9329, -1.8316, 8.5484]], "species": ["Pb", "H", "Sb", "H", "Pb", "Sb"], "fractional_positions": [[0.7941, 0.7941, 0.1266], [0.9523, 0.9523, 0.5193], [0.6739, 0.6739, 0.7856], [0.0477, 0.0477, 0.4807], [0.2059, 0.2059, 0.8734], [0.3261, 0.3261, 0.2144]], "space_group": "C2/m", "relative_energy_ev_per_fu": 0.00}

{"formula": "TaAl2As", "functional": "PBE", "state": "relaxed", "lattice": [[-1.4591, -3.2239, 0.3934], [2.7953, -1.4662, -1.6478], [2.4469, -0.5421, 4.6331]], "species": ["Al", "Ta", "As", "Al"], "fractional_positions": [[0.0000, 0.0000, 0.9955], [0.5000, 0.5000, 0.7500], [0.5000, 0.5000, 0.2500], [0.0000, 0.0000, 0.5045]], "space_group": "P4/mmm", "energy_ev_per_atom": -6.138}

{"formula": "CaTePtO6", "functional": "PBE", "state": "relaxed", "lattice": [[-2.8950, 3.1927, 3.0375], [3.1004, -3.6465, 2.2115], [7.6414, 6.6650, 0.2772]], "species": ["O", "Te", "Te", "O", "O", "O", "O", "O", "Pt", "O", "O", "O", "Ca", "O", "O", "Pt", "Ca", "O"], "fractional_positions": [[0.6322, 0.9911, 0.8572], [0.3333, 0.6667, 0.7500], [0.6667, 0.3333, 0.2500], [0.9911, 0.3590, 0.1428], [0.0089, 0.6410, 0.8572], [0.9911, 0.6322, 0.3572], [0.6410, 0.0089, 0.3572], [0.6322, 0.6410, 0.6428], [0.3333, 0.6667, 0.2500], [0.3678, 0.3590, 0.3572], [0.6410, 0.6322, 0.1428], [0.3590, 0.3678, 0.8572], [0.0000, 0.0000, 0.0000], [0.0089, 0.3678, 0.6428], [0.3678, 0.0089, 0.1428], [0.6667, 0.3333, 0.7500], [0.0000, 0.0000, 0.5000], [0.3590, 0.9911, 0.6428]], "space_group": "P-31c", "energy_ev_per_atom": -5.966}

{"formula": "CoNiRuRh2", "functional": "PBE", "state": "relaxed", "lattice": [[4.6290, 0.0000, 0.0000], [0.0000, 4.4632, 0.0000], [0.0000, 0.0000, 4.6290]], "species": ["Rh", "Ni", "Rh", "Ru", "Co"], "fractional_positions": [[0.0000, 0.0000, 0.5000], [0.0000, 0.5000, 0.0000], [0.5000, 0.0000, 0.0000], [0.0000, 0.0000, 0.0000], [0.5000, 0.5000, 0.5000]], "space_group": "P4/mmm", "energy_ev_per_atom": -5.755}

Quick rundown of DOS(E_F), same order as above: 3.7, 3.5, 8.2, 4.4, 1.5, 2.4, 3.2, 2.1, 0.9, 1.9, 0.0, 7.4 states/eV/f.u.
Quick rundown of magnetic moment, same order as above: 2.7, 0.0, 10.5, 0.5, 0.0, 0.0, 1.0, 0.0, 0.0, 0.0, 0.0, 2.9 μB/cell